A plane-wave DFT calculation with PBE with a Hubbard U was carried out for crystalline Li2PaCrO6 at its relaxed geometry.

Cell: 5.235 5.238 5.533 Å, 62.61 62.74 61.15°
Space group P1 (No. 1)
Symmetry-distinct sites (fractional):
Li 0.000 0.000 0.000 [1 per cell]
Li 0.489 0.517 0.480 [1 per cell]
Pa 0.277 0.296 0.134 [1 per cell]
Cr 0.794 0.789 0.623 [1 per cell]
O 0.046 0.427 0.829 [1 per cell]
O 0.158 0.892 0.349 [1 per cell]
O 0.437 0.671 0.834 [1 per cell]
O 0.574 0.164 0.358 [1 per cell]
O 0.698 0.017 0.824 [1 per cell]
O 0.874 0.600 0.360 [1 per cell]

Summary:
Volume   11.24 A^3/atom
Energy   -7.317 eV per atom
Mass density   5804 kg/m³
Crystal system   triclinic